No. 1
Computed, not measured: a geometry-optimized Er2Tm2BI5 structure at the PBE-GGA level of DFT.

abc: 9.709 9.709 8.578
angles: 102.21 102.21 23.85
Fractional positions:
Er (0.001, 0.001, 0.307)
Er (0.999, 0.999, 0.693)
Tm (0.368, 0.368, 0.433)
Tm (0.632, 0.632, 0.567)
B (0.500, 0.500, 0.500)
I (0.165, 0.165, 0.838)
I (0.171, 0.171, 0.328)
I (0.500, 0.500, 0.000)
I (0.829, 0.829, 0.672)
I (0.835, 0.835, 0.162)

Computed properties:
Spin magnetization, μB/atom: 0.00
Calculated density, g/cm3: 6.9
Volume, A^3/atom: 31.92
Space group: C2/m (12)
E_tot, eV per atom: -4.299


No. 2
Computed, not measured: a geometry-optimized Y2Er2BI5 structure at the PBE-GGA level of DFT.

abc: 9.724 9.724 8.621
angles: 102.35 102.35 23.95
Fractional positions:
Y (0.135, 0.135, 0.068)
Y (0.865, 0.865, 0.932)
Er (0.499, 0.499, 0.192)
Er (0.501, 0.501, 0.808)
B (0.000, 0.000, 0.000)
I (0.000, 0.000, 0.500)
I (0.330, 0.330, 0.178)
I (0.336, 0.336, 0.657)
I (0.664, 0.664, 0.343)
I (0.670, 0.670, 0.822)

Computed properties:
Spin magnetization, μB/atom: 0.00
Calculated density, g/cm3: 6.0
Volume, A^3/atom: 32.29
Space group: C2/m (12)
E_tot, eV per atom: -4.726


No. 3
Computed, not measured: a geometry-optimized ErInB4 structure at the PBE-GGA level of DFT.

abc: 5.107 5.107 5.107
angles: 143.33 117.26 74.92
Fractional positions:
Er (0.000, 0.000, 0.000)
In (0.500, 0.500, 0.000)
B (0.066, 0.739, 0.327)
B (0.411, 0.739, 0.673)
B (0.589, 0.261, 0.327)
B (0.934, 0.261, 0.673)

Computed properties:
Spin magnetization, μB/atom: 0.00
Distance to the lowest polymorph of the same formula, meV/atom: 0
Calculated density, g/cm3: 7.8
Volume, A^3/atom: 11.54
Space group: Immm (71)
E_tot, eV per atom: -5.787


No. 4
Computed, not measured: a geometry-optimized ErInB structure at the PBE-GGA level of DFT.

abc: 4.295 4.295 4.295
angles: 60.00 60.00 60.00
Fractional positions:
Er (0.000, 0.000, 0.000)
In (0.500, 0.500, 0.500)
B (0.250, 0.250, 0.250)

Computed properties:
Spin magnetization, μB/atom: 0.00
Distance to the lowest polymorph of the same formula, meV/atom: 0
Calculated density, g/cm3: 8.7
Volume, A^3/atom: 18.67
Space group: F-43m (216)
E_tot, eV per atom: -4.652


No. 5
Computed, not measured: a geometry-optimized ErInB4 structure at the PBE-GGA level of DFT.

abc: 3.223 3.223 7.640
angles: 90.00 90.00 120.00
Fractional positions:
Er (0.000, 0.000, 0.000)
In (0.000, 0.000, 0.500)
B (0.333, 0.667, 0.247)
B (0.333, 0.667, 0.753)
B (0.667, 0.333, 0.247)
B (0.667, 0.333, 0.753)

Computed properties:
Spin magnetization, μB/atom: 0.00
Distance to the lowest polymorph of the same formula, meV/atom: 131
Calculated density, g/cm3: 7.9
Volume, A^3/atom: 11.45
Space group: P6/mmm (191)
E_tot, eV per atom: -5.656


No. 6
Computed, not measured: a geometry-optimized ErInB structure at the PBE-GGA level of DFT.

abc: 4.596 4.596 4.596
angles: 60.00 60.00 60.00
Fractional positions:
Er (0.000, 0.000, 0.000)
In (0.250, 0.250, 0.250)
B (0.750, 0.750, 0.750)

Computed properties:
Spin magnetization, μB/atom: 0.00
Distance to the lowest polymorph of the same formula, meV/atom: 844
Calculated density, g/cm3: 7.1
Volume, A^3/atom: 22.88
Space group: F-43m (216)
E_tot, eV per atom: -3.808


No. 7
Computed, not measured: a geometry-optimized Er4InB2S structure at the PBE-GGA level of DFT.

abc: 3.653 3.653 15.114
angles: 90.00 90.00 120.00
Fractional positions:
Er (0.000, 0.000, 0.122)
Er (0.000, 0.000, 0.878)
Er (0.333, 0.667, 0.322)
Er (0.333, 0.667, 0.678)
In (0.000, 0.000, 0.500)
B (0.667, 0.333, 0.223)
B (0.667, 0.333, 0.777)
S (0.333, 0.667, 0.000)

Computed properties:
Spin magnetization, μB/atom: 0.00
Calculated density, g/cm3: 8.0
Volume, A^3/atom: 21.83
Space group: P-6m2 (187)
E_tot, eV per atom: -5.381


No. 8
Computed, not measured: a geometry-optimized ErTm3In2B2 structure at the PBE-GGA level of DFT.

abc: 3.572 3.572 16.763
angles: 90.00 90.00 120.00
Fractional positions:
Er (0.000, 0.000, 0.000)
Tm (0.000, 0.000, 0.682)
Tm (0.333, 0.667, 0.183)
Tm (0.333, 0.667, 0.500)
In (0.000, 0.000, 0.342)
In (0.333, 0.667, 0.841)
B (0.667, 0.333, 0.092)
B (0.667, 0.333, 0.591)

Computed properties:
Spin magnetization, μB/atom: 0.00
Calculated density, g/cm3: 8.3
Volume, A^3/atom: 23.15
Space group: P3m1 (156)
E_tot, eV per atom: -4.743


No. 9
Computed, not measured: a geometry-optimized ErBIr structure at the PBE-GGA level of DFT.

abc: 4.364 4.364 4.364
angles: 60.00 60.00 60.00
Fractional positions:
Er (0.000, 0.000, 0.000)
B (0.750, 0.750, 0.750)
Ir (0.250, 0.250, 0.250)

Computed properties:
Spin magnetization, μB/atom: 0.00
Distance to the lowest polymorph of the same formula, meV/atom: 1057
Calculated density, g/cm3: 10.5
Volume, A^3/atom: 19.58
Space group: F-43m (216)
E_tot, eV per atom: -5.787


No. 10
Computed, not measured: a geometry-optimized ErBIr structure at the PBE-GGA level of DFT.

abc: 4.092 4.092 4.092
angles: 60.00 60.00 60.00
Fractional positions:
Er (0.000, 0.000, 0.000)
B (0.250, 0.250, 0.250)
Ir (0.500, 0.500, 0.500)

Computed properties:
Spin magnetization, μB/atom: 0.01
Distance to the lowest polymorph of the same formula, meV/atom: 0
Calculated density, g/cm3: 12.7
Volume, A^3/atom: 16.15
Space group: F-43m (216)
E_tot, eV per atom: -6.844


No. 11
Computed, not measured: a geometry-optimized TbErB2Ir2N2 structure at the PBE-GGA level of DFT.

abc: 3.739 3.739 7.435
angles: 90.00 90.00 90.00
Fractional positions:
Tb (0.000, 0.000, 0.000)
Er (0.500, 0.500, 0.324)
B (0.000, 0.000, 0.507)
B (0.500, 0.500, 0.819)
Ir (0.000, 0.500, 0.662)
Ir (0.500, 0.000, 0.662)
N (0.000, 0.000, 0.306)
N (0.500, 0.500, 0.021)

Computed properties:
Spin magnetization, μB/atom: 0.00
Calculated density, g/cm3: 12.1
Volume, A^3/atom: 12.99
Space group: P4mm (99)
E_tot, eV per atom: -8.270


No. 12
Computed, not measured: a geometry-optimized LaErB4 structure at the PBE-GGA level of DFT.

abc: 3.275 3.275 8.181
angles: 90.00 90.00 120.00
Fractional positions:
La (0.000, 0.000, 0.000)
Er (0.000, 0.000, 0.500)
B (0.333, 0.667, 0.271)
B (0.333, 0.667, 0.729)
B (0.667, 0.333, 0.271)
B (0.667, 0.333, 0.729)

Computed properties:
Spin magnetization, μB/atom: 0.00
Distance to the lowest polymorph of the same formula, meV/atom: 0
Calculated density, g/cm3: 7.6
Volume, A^3/atom: 12.67
Space group: P6/mmm (191)
E_tot, eV per atom: -6.458